Density functional theory data (PBE) for crystalline SmTlW at its relaxed geometry.

The structure in extended XYZ format:
```
3
Lattice="4.342 0.000 0.000 0.000 4.342 0.000 0.000 0.000 5.256" Properties=species:S:1:pos:R:3 pbc="T T T"
Sm 0.000 0.000 0.000
Tl 2.171 2.171 0.000
W 0.000 0.000 2.628
```

Output
Energy above the lowest structure with this stoichiometry (meV per atom): 981
DFT total energy (eV/atom): -4.60

---

Density functional theory data (PBE) for crystalline SmTlW at its relaxed geometry.

The structure in extended XYZ format:
```
3
Lattice="0.000 3.532 3.532 3.532 0.000 3.532 3.532 3.532 0.000" Properties=species:S:1:pos:R:3 pbc="T T T"
Sm 0.000 0.000 0.000
Tl 5.298 5.298 5.298
W 1.766 1.766 1.766
```

Output
Energy above the lowest structure with this stoichiometry (meV per atom): 377
DFT total energy (eV/atom): -5.20

---

Density functional theory data (PBE) for crystalline SmYTl2 at its relaxed geometry.

The structure in extended XYZ format:
```
4
Lattice="3.815 0.000 0.000 0.000 3.815 0.000 0.000 0.000 7.632" Properties=species:S:1:pos:R:3 pbc="T T T"
Sm 0.000 0.000 0.000
Y 0.000 0.000 3.816
Tl 1.908 1.908 1.957
Tl 1.908 1.908 5.675
```

Output
DFT total energy (eV/atom): -4.36

---

Density functional theory data (PBE) for crystalline SmYTl at its relaxed geometry.

The structure in extended XYZ format:
```
3
Lattice="0.000 3.690 3.690 3.690 0.000 3.690 3.690 3.690 0.000" Properties=species:S:1:pos:R:3 pbc="T T T"
Sm 0.000 0.000 0.000
Y 3.690 3.690 3.690
Tl 1.845 1.845 1.845
```

Output
Energy above the lowest structure with this stoichiometry (meV per atom): 0
DFT total energy (eV/atom): -4.58

---

Density functional theory data (PBE) for crystalline Sm2Tm at its relaxed geometry.

The structure in extended XYZ format:
```
6
Lattice="0.000 6.365 6.365 6.365 0.000 6.365 6.365 6.365 0.000" Properties=species:S:1:pos:R:3 pbc="T T T"
Sm 0.000 0.000 0.000
Sm 3.183 3.183 0.000
Sm 3.183 0.000 3.183
Sm 0.000 3.183 3.183
Tm 1.591 1.591 1.591
Tm 11.140 11.140 11.140
```

Output
Energy above the lowest structure with this stoichiometry (meV per atom): 2146
DFT total energy (eV/atom): -2.23
E_form (eV per formula unit): 7.21

---

Density functional theory data (PBE) for crystalline SmTm2 at its relaxed geometry.

The structure in extended XYZ format:
```
6
Lattice="0.000 4.646 4.646 4.646 0.000 4.646 4.646 4.646 0.000" Properties=species:S:1:pos:R:3 pbc="T T T"
Sm 1.162 1.162 1.162
Sm 8.131 8.131 8.131
Tm 4.646 2.323 2.323
Tm 2.323 4.646 2.323
Tm 2.323 2.323 4.646
Tm 4.646 4.646 4.646
```

Output
Energy above the lowest structure with this stoichiometry (meV per atom): 295
DFT total energy (eV/atom): -4.26
E_form (eV per formula unit): 0.87